No. 1
This record from Alexandria via LeMat-Bulk describes a crystal of TaAl relaxed with PBEsol. The functional is SCAN.

Lattice parameters (Å, degrees): 2.9031 2.9031 4.6058 90.00 90.00 120.00
Space group P-6m2 (No. 187)
Symmetry-distinct sites (fractional):
Ta1 0.0000 0.0000 0.0000 [1 per cell]
Al1 0.6667 0.3333 0.5000 [1 per cell]

## Properties
calculated formation energy = -0.41 eV/f.u.

No. 2
This record from Alexandria via LeMat-Bulk describes a crystal of Ta2Al relaxed with PBEsol. The functional is SCAN.

Lattice parameters (Å, degrees): 3.3916 13.4594 4.4337 90.00 90.00 90.00
Space group Cmcm (No. 63)
Symmetry-distinct sites (fractional):
Ta1 0.0000 0.0709 0.2500 [4 per cell]
Ta2 0.0000 0.2613 0.7500 [4 per cell]
Al1 0.0000 0.4014 0.2500 [4 per cell]

## Properties
calculated formation energy = -0.56 eV/f.u.

No. 3
This record from Alexandria via LeMat-Bulk describes a crystal of Ta3Al relaxed with PBEsol. The functional is SCAN.

Lattice parameters (Å, degrees): 2.7906 9.4610 5.2288 90.00 90.00 90.00
Space group Imm2 (No. 44)
Symmetry-distinct sites (fractional):
Ta1 0.0000 0.0000 0.0000 [2 per cell]
Ta2 0.0000 0.2472 0.2976 [4 per cell]
Al1 0.0000 0.5000 0.9952 [2 per cell]

## Properties
calculated formation energy = -0.09 eV/f.u.

No. 4
This record from Alexandria via LeMat-Bulk describes a crystal of TaAl relaxed with PBEsol. The functional is SCAN.

Lattice parameters (Å, degrees): 9.1848 8.0254 5.3304 90.00 90.00 90.00
Space group Pbcm (No. 57)
Symmetry-distinct sites (fractional):
Ta1 0.1259 0.2500 0.0000 [4 per cell]
Ta2 0.1785 0.6433 0.2500 [4 per cell]
Ta3 0.3500 0.0233 0.2500 [4 per cell]
Al1 0.0659 0.5465 0.7500 [4 per cell]
Al2 0.3608 0.1164 0.7500 [4 per cell]
Al3 0.4276 0.7500 0.0000 [4 per cell]

## Properties
calculated formation energy = -0.42 eV/f.u.

No. 5
This record from Alexandria via LeMat-Bulk describes a crystal of Ta24Al19 relaxed with PBEsol. The functional is SCAN.

Lattice parameters (Å, degrees): 9.8349 9.8337 16.2440 90.00 116.39 90.00
Space group P2_1/c (No. 14)
Symmetry-distinct sites (fractional):
Ta1 0.0392 0.0131 0.2228 [4 per cell]
Ta2 0.0425 0.6395 0.0140 [4 per cell]
Ta3 0.1499 0.1566 0.9701 [4 per cell]
Ta4 0.1836 0.0551 0.4091 [4 per cell]
Ta5 0.2196 0.5685 0.6380 [4 per cell]
Ta6 0.2862 0.5698 0.3593 [4 per cell]
Ta7 0.3191 0.0799 0.5877 [4 per cell]
Ta8 0.3214 0.7040 0.0228 [4 per cell]
Ta9 0.3459 0.6577 0.8348 [4 per cell]
Ta10 0.3965 0.0981 0.3160 [4 per cell]
Ta11 0.4216 0.2267 0.9795 [4 per cell]
Ta12 0.4487 0.1233 0.7808 [4 per cell]
Al1 0.0711 0.6009 0.4572 [4 per cell]
Al2 0.0737 0.7301 0.1904 [4 per cell]
Al3 0.0886 0.7097 0.8511 [4 per cell]
Al4 0.1273 0.0273 0.6706 [4 per cell]
Al5 0.1823 0.2138 0.1500 [4 per cell]
Al6 0.1886 0.2041 0.8118 [4 per cell]
Al7 0.3317 0.6604 0.1900 [4 per cell]
Al8 0.3991 0.5311 0.5408 [4 per cell]
Al9 0.4336 0.1556 0.1514 [4 per cell]
Al10 0.5000 0.0000 0.5000 [2 per cell]

## Properties
calculated formation energy = -12.12 eV/f.u.

No. 6
This record from Alexandria via LeMat-Bulk describes a crystal of Ta13Al23 relaxed with PBEsol. The functional is SCAN.

Lattice parameters (Å, degrees): 13.4637 13.4637 33.0558 90.00 90.00 120.00
Space group R3m (No. 160, hexagonal axes)
Symmetry-distinct sites (fractional):
Ta1 0.0000 0.0000 0.0017 [3 per cell]
Ta2 0.0000 0.0000 0.3486 [3 per cell]
Ta3 0.0000 0.0000 0.5087 [3 per cell]
Ta4 0.0000 0.0000 0.5955 [3 per cell]
Ta5 0.0000 0.0000 0.7519 [3 per cell]
Ta6 0.0000 0.0000 0.8450 [3 per cell]
Ta7 0.0038 0.3756 0.7524 [18 per cell]
Ta8 0.0037 0.3789 0.5942 [18 per cell]
Ta9 0.0793 0.5396 0.1405 [9 per cell]
Ta10 0.0959 0.5480 0.6667 [9 per cell]
Ta11 0.1694 0.0847 0.2078 [9 per cell]
Ta12 0.2080 0.4160 0.5433 [9 per cell]
Ta13 0.2098 0.4195 0.7927 [9 per cell]
Ta14 0.2135 0.4271 0.2918 [9 per cell]
Ta15 0.2147 0.4293 0.3881 [9 per cell]
Al1 0.0000 0.0000 0.1473 [3 per cell]
Al2 0.0000 0.0000 0.2675 [3 per cell]
Al3 0.0000 0.0000 0.4300 [3 per cell]
Al4 0.9996 0.1881 0.5493 [18 per cell]
Al5 0.0000 0.3111 0.6732 [18 per cell]
Al6 0.0030 0.3154 0.1742 [18 per cell]
Al7 0.0631 0.1262 0.6731 [9 per cell]
Al8 0.0660 0.1321 0.9230 [9 per cell]
Al9 0.0692 0.1384 0.0775 [9 per cell]
Al10 0.0735 0.5368 0.8977 [9 per cell]
Al11 0.0784 0.5392 0.5297 [9 per cell]
Al12 0.0825 0.5413 0.2782 [9 per cell]
Al13 0.0849 0.5424 0.4014 [9 per cell]
Al14 0.1002 0.2003 0.3087 [9 per cell]
Al15 0.1007 0.2014 0.3928 [9 per cell]
Al16 0.1080 0.2160 0.1485 [9 per cell]
Al17 0.1453 0.4728 0.4636 [18 per cell]
Al18 0.2122 0.1061 0.4684 [9 per cell]
Al19 0.2120 0.1060 0.9640 [9 per cell]
Al20 0.2170 0.1085 0.0406 [9 per cell]
Al21 0.2218 0.1109 0.3610 [9 per cell]

## Properties
calculated formation energy = -9.36 eV/f.u.

No. 7
This record from Alexandria via LeMat-Bulk describes a crystal of Ta3Al4 relaxed with PBEsol. The functional is SCAN.

Lattice parameters (Å, degrees): 5.3638 5.3638 4.9711 90.00 90.00 120.00
Space group P6/mmm (No. 191)
Symmetry-distinct sites (fractional):
Ta1 0.0000 0.5000 0.0000 [3 per cell]
Al1 0.0000 0.0000 0.2477 [2 per cell]
Al2 0.3333 0.6667 0.5000 [2 per cell]

## Properties
calculated formation energy = 0.16 eV/f.u.

No. 8
This record from Alexandria via LeMat-Bulk describes a crystal of Ta3Al relaxed with PBEsol. The functional is SCAN.

Lattice parameters (Å, degrees): 3.9192 3.9192 17.8377 90.00 90.00 90.00
Space group I4/mmm (No. 139)
Symmetry-distinct sites (fractional):
Ta1 0.0000 0.0000 0.1240 [4 per cell]
Ta2 0.0000 0.5000 0.0000 [4 per cell]
Ta3 0.0000 0.5000 0.2500 [4 per cell]
Al1 0.0000 0.0000 0.3750 [4 per cell]

## Properties
calculated formation energy = -0.35 eV/f.u.

No. 9
This record from Alexandria via LeMat-Bulk describes a crystal of TaAlTc relaxed with PBEsol. The functional is SCAN.

Lattice parameters (Å, degrees): 2.8418 2.8418 6.7213 90.00 90.00 120.00
Space group P3m1 (No. 156)
Symmetry-distinct sites (fractional):
Ta1 0.0000 0.0000 0.0000 [1 per cell]
Al1 0.6667 0.3333 0.3531 [1 per cell]
Tc1 0.3333 0.6667 0.6640 [1 per cell]

## Properties
relative energy among the computed polymorphs = 415 meV per atom
calculated formation energy = -0.08 eV/f.u.

No. 10
This record from Alexandria via LeMat-Bulk describes a crystal of TaAlTc relaxed with PBEsol. The functional is SCAN.

Lattice parameters (Å, degrees): 3.2110 3.2110 8.9794 90.00 90.00 90.00
Space group I4mm (No. 107)
Symmetry-distinct sites (fractional):
Ta1 0.0000 0.0000 0.0000 [2 per cell]
Al1 0.0000 0.0000 0.3153 [2 per cell]
Tc1 0.0000 0.0000 0.6514 [2 per cell]

## Properties
relative energy among the computed polymorphs = 0 meV per atom
calculated formation energy = -1.33 eV/f.u.

No. 11
This record from Alexandria via LeMat-Bulk describes a crystal of Ta2AlTe relaxed with PBEsol. The functional is SCAN.

Lattice parameters (Å, degrees): 9.6829 3.1844 4.8364 90.00 103.69 90.00
Space group Cm (No. 8)
Symmetry-distinct sites (fractional):
Ta1 0.0000 0.0000 0.0000 [2 per cell]
Ta2 0.2312 0.0000 0.6656 [2 per cell]
Al1 0.2400 0.5000 0.1612 [2 per cell]
Te1 0.4887 0.0000 0.4887 [2 per cell]

## Properties
relative energy among the computed polymorphs = 0 meV per atom
formation energy from raw total energies = 40 kJ/mol of formula units

No. 12
This record from Alexandria via LeMat-Bulk describes a crystal of Ta2AlTe relaxed with PBEsol. The functional is SCAN.

Lattice parameters (Å, degrees): 3.0358 4.3268 5.6970 90.00 102.65 90.00
Space group P2/m (No. 10)
Symmetry-distinct sites (fractional):
Ta1 0.2345 0.0000 0.2388 [2 per cell]
Al1 0.5000 0.5000 0.0000 [1 per cell]
Te1 0.0000 0.5000 0.5000 [1 per cell]

## Properties
relative energy among the computed polymorphs = 150 meV per atom
formation energy from raw total energies = 98 kJ/mol of formula units

Total magnetization readings, ordered: 0.0; 0.0; 0.0; 0.0; 0.0; 0.1; 0.0; 0.0; 0.0; 0.0; 0.0; 0.0 μB/f.u.